Below is an optimized crystal structure of Na2InS8, with properties calculated at the GGA-PBE level.

Computed properties:
- total magnetization (μB per formula unit) = 0.00
- uncorrected formation energy (eV per atom) = -0.3037

```
data_Na2InS8
_cell_length_a 5.597
_cell_length_b 6.722
_cell_length_c 7.452
_cell_angle_alpha 92.73
_cell_angle_beta 93.71
_cell_angle_gamma 97.78
_space_group_name_H-M_alt 'P -1'
_space_group_IT_number 2
loop_
_space_group_symop_operation_xyz
'x,y,z'
'-x,-y,-z'
loop_
_atom_site_label
_atom_site_fract_x
_atom_site_fract_y
_atom_site_fract_z
Na1 0.228 0.343 0.384
In1 0.500 0.000 0.000
S1 0.114 0.137 0.751
S2 0.251 0.894 0.305
S3 0.252 0.405 0.892
S4 0.277 0.630 0.710
```

=====

Below is an optimized crystal structure of Cd4InHg9, with properties calculated at the GGA-PBE level.

Computed properties:
- formation enthalpy at 0 K (eV/f.u.) = 0.36
- total magnetization (μB per formula unit) = 0.00

```
data_Cd4InHg9
_cell_length_a 9.296
_cell_length_b 9.312
_cell_length_c 9.794
_cell_angle_alpha 96.78
_cell_angle_beta 90.95
_cell_angle_gamma 119.77
_space_group_name_H-M_alt 'P -1'
_space_group_IT_number 2
loop_
_space_group_symop_operation_xyz
'x,y,z'
'-x,-y,-z'
loop_
_atom_site_label
_atom_site_fract_x
_atom_site_fract_y
_atom_site_fract_z
Cd1 0.000 0.000 0.000
Cd2 0.000 0.000 0.500
Cd3 0.100 0.861 0.243
Cd4 0.106 0.229 0.279
Cd5 0.247 0.102 0.770
In1 0.299 0.744 0.755
Hg1 0.039 0.667 0.957
Hg2 0.103 0.557 0.361
Hg3 0.205 0.386 0.597
Hg4 0.301 0.457 0.929
Hg5 0.312 0.928 0.513
Hg6 0.370 0.179 0.086
Hg7 0.410 0.865 0.144
Hg8 0.423 0.564 0.251
Hg9 0.443 0.283 0.434
```

=====

Below is an optimized crystal structure of GaTe2O6, with properties calculated at the GGA-PBE level.

Computed properties:
- total magnetization (μB per formula unit) = 0.00
- offset from the most stable computed form (meV per atom) = 11
- uncorrected formation energy (eV per atom) = -1.0809

```
data_GaTe2O6
_cell_length_a 4.856
_cell_length_b 4.856
_cell_length_c 9.796
_cell_angle_alpha 90.00
_cell_angle_beta 90.00
_cell_angle_gamma 90.00
_space_group_name_H-M_alt 'P 42/m n m'
_space_group_IT_number 136
_space_group_name_Hall '-P 4n 2n'
loop_
_atom_site_label
_atom_site_fract_x
_atom_site_fract_y
_atom_site_fract_z
Ga1 0.000 0.000 0.000
Te1 0.000 0.000 0.333
O1 0.190 0.190 0.160
O2 0.200 0.200 0.500
```